(1)
First-principles (GGA-PBE) data for a relaxed structure of Sb2Se2F, as listed in Alexandria.

Geometry as POSCAR:
```
Sb2Se2F
1.0
3.975 -1.891 0.000
3.975 1.891 0.000
-3.809 0.000 9.158
Sb Se F
2 2 1
Direct
0.190 0.190 0.343 Sb
0.810 0.810 0.657 Sb
0.214 0.214 0.808 Se
0.786 0.786 0.192 Se
0.500 0.500 0.500 F
```

Summary:
total DFT energy (no corrections)	-0.149	Ha/atom
total magnetization	0.00	μB per formula unit



(2)
First-principles (GGA-PBE) data for a relaxed structure of NaGa2Ge2, as listed in Alexandria.

Geometry as POSCAR:
```
NaGa2Ge2
1.0
8.030 0.000 0.000
0.000 8.030 0.000
0.000 0.000 3.173
Na Ga Ge
2 4 4
Direct
0.000 0.000 0.000 Na
0.500 0.500 0.000 Na
0.135 0.365 0.000 Ga
0.365 0.865 0.000 Ga
0.635 0.135 0.000 Ga
0.865 0.635 0.000 Ga
0.157 0.657 0.500 Ge
0.343 0.157 0.500 Ge
0.657 0.843 0.500 Ge
0.843 0.343 0.500 Ge
```

Summary:
total DFT energy (no corrections)	-0.120	Ha/atom
total magnetization	0.00	μB per formula unit
DFT formation energy	44	meV per atom



(3)
First-principles (GGA-PBE) data for a relaxed structure of CaY2GaCo, as listed in Alexandria.

Geometry as POSCAR:
```
CaY2GaCo
1.0
5.199 0.000 0.000
0.000 5.199 0.000
0.000 0.000 4.787
Ca Y Ga Co
1 2 1 1
Direct
0.000 0.000 0.000 Ca
0.000 0.500 0.500 Y
0.500 0.000 0.500 Y
0.500 0.500 0.000 Ga
0.500 0.500 0.500 Co
```

Summary:
total DFT energy (no corrections)	-0.190	Ha/atom
total magnetization	0.00	μB per formula unit
DFT formation energy	-158	meV per atom



(4)
First-principles (GGA-PBE) data for a relaxed structure of NdYHgTe, as listed in Alexandria.

Geometry as POSCAR:
```
NdYHgTe
1.0
2.122 1.225 7.801
-2.122 1.225 7.801
0.000 -2.451 7.801
Nd Y Hg Te
1 1 1 1
Direct
0.000 0.000 0.000 Nd
0.501 0.501 0.501 Y
0.753 0.753 0.753 Hg
0.247 0.247 0.247 Te
```

Summary:
total DFT energy (no corrections)	-0.168	Ha/atom
total magnetization	0.00	μB per formula unit



> Among the records above, which one has the lowest total DFT energy (no corrections)?

CaY2GaCo



> What is the formula in the third record?

CaY2GaCo